[1]
Entry from Alexandria via LeMat-Bulk: an optimized crystal structure of K2YAg (GGA-PBEsol).

Properties
The calculation puts the raw total energy at -10.2 eV/cell. For the excess energy over the best structure of this formula in the dataset, the calculation gives 340 meV/atom. For the density of states at the Fermi level, the calculation gives 4.15 states/eV per cell.

a b c (Å): 3.559 6.453 6.882
angles (deg): 117.96 90.00 90.00
Sites, in units of the cell vectors:
Ag (0.500, 0.500, 0.000)
K (0.000, 0.000, 0.500)
K (0.000, 0.500, 0.500)
Y (0.500, 0.000, 0.000)



[2]
Entry from Alexandria via LeMat-Bulk: an optimized crystal structure of ScReNi6 (GGA-PBEsol).

Properties
The calculation puts the raw total energy at -232.8 eV/cell. For the density of states at the Fermi level, the calculation gives 37.70 states/eV per cell.

a b c (Å): 6.257 6.257 10.204
angles (deg): 90.00 90.00 109.55
Sites, in units of the cell vectors:
Ni (0.245, 0.755, 0.742)
Ni (0.879, 0.631, 0.871)
Ni (0.121, 0.369, 0.871)
Ni (0.755, 0.245, 0.742)
Ni (0.369, 0.121, 0.871)
Ni (0.631, 0.879, 0.871)
Ni (0.500, 0.500, 0.500)
Ni (0.113, 0.370, 0.622)
Ni (0.370, 0.113, 0.622)
Ni (0.245, 0.755, 0.258)
Ni (0.887, 0.630, 0.378)
Ni (0.113, 0.370, 0.378)
Ni (0.755, 0.245, 0.258)
Ni (0.370, 0.113, 0.378)
Ni (0.630, 0.887, 0.378)
Ni (0.500, 0.500, 0.000)
Ni (0.121, 0.369, 0.129)
Ni (0.369, 0.121, 0.129)
Ni (0.000, 0.000, 0.500)
Ni (0.630, 0.887, 0.622)
Ni (0.887, 0.630, 0.622)
Ni (0.000, 0.000, 0.000)
Ni (0.631, 0.879, 0.129)
Ni (0.879, 0.631, 0.129)
Re (0.259, 0.741, 0.500)
Re (0.741, 0.259, 0.500)
Re (0.000, 0.000, 0.753)
Re (0.000, 0.000, 0.247)
Sc (0.251, 0.749, 0.000)
Sc (0.749, 0.251, 0.000)
Sc (0.500, 0.500, 0.750)
Sc (0.500, 0.500, 0.250)



[3]
Entry from Alexandria via LeMat-Bulk: an optimized crystal structure of Ba5Mg3 (GGA-PBEsol).

Properties
The calculation puts the raw total energy at -15.9 eV/cell. For the excess energy over the best structure of this formula in the dataset, the calculation gives 0 meV/atom. For the density of states at the Fermi level, the calculation gives 10.88 states/eV per cell.

a b c (Å): 6.059 7.645 7.645
angles (deg): 103.57 90.00 90.00
Sites, in units of the cell vectors:
Ba (0.000, 0.000, 0.000)
Ba (0.000, 0.000, 0.500)
Ba (0.000, 0.500, 0.000)
Ba (0.500, 0.286, 0.286)
Ba (0.500, 0.714, 0.714)
Mg (0.000, 0.500, 0.500)
Mg (0.500, 0.775, 0.225)
Mg (0.500, 0.225, 0.775)



[4]
Entry from Alexandria via LeMat-Bulk: an optimized crystal structure of TcAg (GGA-PBEsol).

Properties
The calculation puts the raw total energy at -13.5 eV/cell. For the excess energy over the best structure of this formula in the dataset, the calculation gives 285 meV/atom. For the density of states at the Fermi level, the calculation gives 1.49 states/eV per cell.

a b c (Å): 2.593 2.593 4.483
angles (deg): 90.00 90.00 89.94
Sites, in units of the cell vectors:
Tc (0.500, 0.500, 0.500)
Ag (0.000, 0.000, 0.000)



[5]
Entry from Alexandria via LeMat-Bulk: an optimized crystal structure of Pt7Rh (GGA-PBEsol).

Properties
The calculation puts the raw total energy at -56.9 eV/cell. For the density of states at the Fermi level, the calculation gives 14.69 states/eV per cell.

a b c (Å): 5.510 5.510 5.510
angles (deg): 60.00 60.00 60.00
Sites, in units of the cell vectors:
Pt (0.500, 0.000, 0.000)
Pt (0.500, 0.500, 0.000)
Pt (0.000, 0.500, 0.000)
Pt (0.500, 0.000, 0.500)
Pt (0.000, 0.000, 0.500)
Pt (0.000, 0.500, 0.500)
Pt (0.500, 0.500, 0.500)
Rh (0.000, 0.000, 0.000)



[6]
Entry from Alexandria via LeMat-Bulk: an optimized crystal structure of LiMnN2 (GGA-PBEsol).

Properties
The calculation puts the raw total energy at -61.0 eV/cell. For the excess energy over the best structure of this formula in the dataset, the calculation gives 0 meV/atom. Its formation energy without anion corrections is -0.43 eV/atom. For the density of states at the Fermi level, the calculation gives 4.73 states/eV per cell.

a b c (Å): 4.495 4.495 5.219
angles (deg): 115.51 115.51 90.00
Site moments in Bohr magnetons follow the coordinates.
Sites, in units of the cell vectors:
Mn (0.250, 0.750, 0.500)  0.45
Mn (0.000, 0.000, 0.000)  0.45
Li (0.750, 0.250, 0.500)  0.00
Li (0.500, 0.500, 0.000)  0.00
N (0.308, 0.875, 0.250)  -0.01
N (0.942, 0.375, 0.250)  -0.01
N (0.125, 0.058, 0.750)  -0.01
N (0.625, 0.692, 0.750)  -0.01



[7]
Entry from Alexandria via LeMat-Bulk: an optimized crystal structure of HfCoTeI2 (GGA-PBEsol).

Properties
The calculation puts the raw total energy at -22.9 eV/cell. Its formation energy without anion corrections is 0.47 eV/atom. For the density of states at the Fermi level, the calculation gives 3.95 states/eV per cell.

a b c (Å): 4.934 4.934 5.050
angles (deg): 90.00 90.00 90.00
Sites, in units of the cell vectors:
I (0.000, 0.500, 0.000)
I (0.500, 0.000, 0.000)
Co (0.000, 0.000, 0.000)
Te (0.000, 0.000, 0.500)
Hf (0.500, 0.500, 0.500)



[8]
Entry from Alexandria via LeMat-Bulk: an optimized crystal structure of YRu2W (GGA-PBEsol).

Properties
The calculation puts the raw total energy at -38.8 eV/cell. For the excess energy over the best structure of this formula in the dataset, the calculation gives 583 meV/atom. For the density of states at the Fermi level, the calculation gives 5.54 states/eV per cell.

a b c (Å): 2.810 2.810 9.717
angles (deg): 81.69 81.69 60.00
Sites, in units of the cell vectors:
Ru (0.009, 0.009, 0.974)
Ru (0.748, 0.748, 0.755)
W (0.490, 0.490, 0.530)
Y (0.253, 0.253, 0.241)



[9]
Entry from Alexandria via LeMat-Bulk: an optimized crystal structure of ZrBe2Sb (GGA-PBEsol).

Properties
The calculation puts the raw total energy at -21.9 eV/cell. Its formation energy without anion corrections is -0.07 eV/atom. For the density of states at the Fermi level, the calculation gives 1.06 states/eV per cell.

a b c (Å): 3.732 4.045 4.045
angles (deg): 90.00 90.00 90.00
Sites, in units of the cell vectors:
Sb (0.500, 0.500, 0.500)
Zr (0.500, 0.000, 0.000)
Be (0.000, 0.000, 0.500)
Be (0.000, 0.500, 0.000)



[10]
Entry from Alexandria via LeMat-Bulk: an optimized crystal structure of NaNiTe2 (GGA-PBEsol).

Properties
The calculation puts the raw total energy at -14.3 eV/cell. Its formation energy without anion corrections is 0.09 eV/atom. For the density of states at the Fermi level, the calculation gives 4.42 states/eV per cell.

a b c (Å): 4.913 4.913 4.913
angles (deg): 60.00 60.00 60.00
Site moments in Bohr magnetons follow the coordinates.
Sites, in units of the cell vectors:
Ni (0.500, 0.500, 0.500)  0.19
Te (0.250, 0.250, 0.250)  0.02
Te (0.750, 0.750, 0.750)  0.02
Na (0.000, 0.000, 0.000)  0.00



[11]
Entry from Alexandria via LeMat-Bulk: an optimized crystal structure of SnSb2As2F18 (GGA-PBEsol).

Properties
The calculation puts the raw total energy at -220.8 eV/cell. Its formation energy without anion corrections is -2.27 eV/atom. For the density of states at the Fermi level, the calculation gives 0.00 states/eV per cell.

a b c (Å): 6.036 10.714 11.772
angles (deg): 90.00 90.00 90.16
Sites, in units of the cell vectors:
Sn (0.993, 0.495, 0.637)
Sn (0.993, 0.995, 0.363)
Sb (0.487, 0.472, 0.891)
Sb (0.487, 0.972, 0.109)
Sb (0.487, 0.759, 0.519)
Sb (0.487, 0.259, 0.481)
As (0.886, 0.126, 0.758)
As (0.886, 0.626, 0.242)
As (0.126, 0.304, 0.153)
As (0.126, 0.804, 0.847)
F (0.663, 0.901, 0.476)
F (0.940, 0.288, 0.718)
F (0.747, 0.675, 0.572)
F (0.303, 0.454, 0.756)
F (0.228, 0.440, 0.979)
F (0.969, 0.731, 0.952)
F (0.314, 0.115, 0.443)
F (0.149, 0.112, 0.818)
F (0.444, 0.827, 0.666)
F (0.314, 0.615, 0.557)
F (0.060, 0.683, 0.744)
F (0.940, 0.788, 0.282)
F (0.971, 0.072, 0.623)
F (0.899, 0.395, 0.205)
F (0.526, 0.193, 0.629)
F (0.228, 0.940, 0.021)
F (0.899, 0.895, 0.795)
F (0.420, 0.146, 0.111)
F (0.420, 0.646, 0.889)
F (0.444, 0.327, 0.334)
F (0.747, 0.175, 0.428)
F (0.222, 0.843, 0.471)
F (0.149, 0.612, 0.182)
F (0.969, 0.231, 0.048)
F (0.971, 0.572, 0.377)
F (0.060, 0.183, 0.256)
F (0.526, 0.693, 0.371)
F (0.556, 0.300, 0.881)
F (0.556, 0.800, 0.119)
F (0.303, 0.954, 0.244)
F (0.663, 0.401, 0.524)
F (0.670, 0.495, 0.019)
F (0.670, 0.995, 0.981)
F (0.729, 0.508, 0.787)
F (0.729, 0.008, 0.213)
F (0.222, 0.343, 0.529)



[12]
Entry from Alexandria via LeMat-Bulk: an optimized crystal structure of CoSe2 (GGA-PBEsol).

Properties
The calculation puts the raw total energy at -32.6 eV/cell. Its formation energy without anion corrections is -0.29 eV/atom. For the density of states at the Fermi level, the calculation gives 3.12 states/eV per cell.

a b c (Å): 3.531 4.731 6.411
angles (deg): 90.00 105.98 90.00
Sites, in units of the cell vectors:
Co (0.834, 0.750, 0.667)
Co (0.166, 0.250, 0.333)
Se (0.206, 0.750, 0.412)
Se (0.455, 0.750, 0.909)
Se (0.545, 0.250, 0.091)
Se (0.794, 0.250, 0.588)